NaCa2PbSe | GGA-PBE | relaxed

a b c (Å): 5.5829 5.5829 5.2706
angles (deg): 90.00 90.00 90.00
Element x y z (fractional)
Se1 0.0000 0.0000 0.0000
Ca1 0.0000 0.5000 0.0000
Ca2 0.5000 0.0000 0.0000
Pb1 0.5000 0.5000 0.5000
Na1 0.0000 0.0000 0.5000

Formation energy from raw total energies ... -75 kJ/mol of atoms
Total moment ... 0.00 μB per cell
Density ... 3.94 Mg/m³
Raw total energy ... -16.4 eV/cell



TmLuInTc | GGA-PBE | relaxed

a b c (Å): 4.9887 4.9887 4.9887
angles (deg): 60.00 60.00 60.00
Element x y z (fractional)
Lu1 0.2500 0.2500 0.2500
In1 0.0000 0.0000 0.0000
Tc1 0.5000 0.5000 0.5000
Tm1 0.7500 0.7500 0.7500

Total moment ... 0.00 μB per cell
Density ... 10.53 Mg/m³
Raw total energy ... -22.9 eV/cell
E_form ... -0.20 eV/atom



MgIn2F8 | GGA-PBE | relaxed

a b c (Å): 4.4111 5.7613 5.7613
angles (deg): 111.56 99.86 99.86
Element x y z (fractional)
In1 0.0000 0.6864 0.3136
In2 0.0000 0.3136 0.6864
F1 0.8907 0.6581 0.9246
F2 0.8907 0.9246 0.6581
F3 0.5000 0.2067 0.7933
F4 0.2980 0.6499 0.6499
F5 0.5000 0.7933 0.2067
F6 0.1093 0.3419 0.0754
F7 0.1093 0.0754 0.3419
F8 0.7020 0.3501 0.3501
Mg1 0.5000 0.0000 0.0000

Formation energy from raw total energies ... -252 kJ/mol of atoms
Total moment ... 0.00 μB per cell
Density ... 5.20 Mg/m³
Raw total energy ... -50.7 eV/cell



Nd4Dy5Y2 | GGA-PBE | relaxed

a b c (Å): 5.6881 6.6507 10.0537
angles (deg): 88.94 106.43 90.00
Element x y z (fractional)
Dy1 0.7915 0.4022 0.5829
Dy2 0.1302 0.1066 0.2604
Dy3 0.2085 0.5978 0.4171
Dy4 0.5000 0.0000 0.0000
Dy5 0.8698 0.8934 0.7396
Nd1 0.6948 0.9283 0.3896
Nd2 0.0192 0.7130 0.0384
Nd3 0.9808 0.2870 0.9616
Nd4 0.3052 0.0717 0.6104
Y1 0.4022 0.5525 0.8044
Y2 0.5978 0.4475 0.1956

Total moment ... 0.00 μB per cell
Density ... 7.14 Mg/m³
Raw total energy ... -53.9 eV/cell
E_form ... 0.10 eV/atom



> Look up the total moment of the second one.

0.00 μB per cell